Density functional theory data (GGA-PBE) for crystalline Tl3As2Pb at its relaxed geometry.

Values from the calculation:
- Energy of formation from the pure elements: 0.000 eV per atom
- Electronic total energy: -0.2463 Ry/atom
- Space group: C2/m
- Density: 8.97 g cm⁻³

Lattice parameters (Å, degrees): 9.990 9.990 8.709 112.35 112.35 26.68
Fractional coordinates of all 12 atoms:
Tl  0.027  0.027  0.237
Tl  0.322  0.322  0.587
Tl  0.413  0.413  0.325
Tl  0.587  0.587  0.675
Tl  0.678  0.678  0.413
Tl  0.973  0.973  0.763
As  0.204  0.204  0.743
As  0.431  0.431  0.969
As  0.569  0.569  0.031
As  0.796  0.796  0.257
Pb  0.193  0.193  0.073
Pb  0.807  0.807  0.927